# VCdI | Alexandria via LeMat-Bulk | GGA-PBE | relaxed
# ρ: 6.12 g/cm3
# DOS(E_F): 1.7 states/eV/f.u.
# E_form (uncorrected): 196 meV per atom
data_VCdI
_space_group_name_H-M_alt 'P 1 2/m 1'
_space_group_IT_number 10
_space_group_name_Hall '-P 2y'
_cell_length_a 5.1159
_cell_length_b 5.1620
_cell_length_c 6.0156
_cell_angle_alpha 90.00
_cell_angle_beta 97.35
_cell_angle_gamma 90.00
loop_
_atom_site_label
_atom_site_fract_x
_atom_site_fract_y
_atom_site_fract_z
_atom_site_occupancy
V1 0.1558 0.0000 0.1099 1
Cd1 0.2802 0.0000 0.6421 1
I1 0.2647 0.5000 0.2282 1